DFT (PBEsol) results for an optimized crystal structure of YCuO3.

Lattice parameters (Å, degrees): 4.2912 4.2912 4.2912 90.00 90.00 90.00
Closest atoms and distances in Å follow each position.
Element x y z (fractional)
Y1 0.0000 0.0000 0.0000  6 O 2.15
O1 0.0000 0.5000 0.0000  2 Y 2.15
O2 0.5000 0.0000 0.0000  2 Y 2.15
O3 0.0000 0.0000 0.5000  2 Y 2.15
Cu1 0.5000 0.5000 0.5000  12 O 3.03

For the uncorrected formation energy, the calculation gives -0.831 eV per atom. The total energy comes out at -0.2283 Ha/atom. For the total magnetization, the calculation gives 2.00 μB/f.u.